## NiSb2Ir (SCAN)

Data for a crystal of NiSb2Ir relaxed with PBEsol.

a = 6.5710 Å, b = 6.5710 Å, c = 6.5710 Å
α = 90.00°, β = 90.00°, γ = 90.00°
Last column: nearest neighbours and their distance in Å.
Space group F-43m (No. 216)
Unique sites:
Ni (0.0000, 0.0000, 0.0000) (multiplicity 4)  4 Sb 2.85, 4 Ir 2.85
Sb (0.0000, 0.0000, 0.5000) (multiplicity 4)  4 Sb 2.85, 4 Ir 2.85
Sb (0.2500, 0.2500, 0.7500) (multiplicity 4)  4 Sb 2.85, 4 Ni 2.85
Ir (0.2500, 0.2500, 0.2500) (multiplicity 4)  4 Sb 2.85, 4 Ni 2.85


## Ni2SbIr (SCAN)

Data for a crystal of Ni2SbIr relaxed with PBEsol.

a = 3.8140 Å, b = 3.8140 Å, c = 3.7069 Å
α = 90.00°, β = 90.00°, γ = 90.00°
Last column: nearest neighbours and their distance in Å.
Space group P4/mmm (No. 123)
Unique sites:
Ni (0.0000, 0.5000, 0.0000) (multiplicity 2)  4 Ir 2.66, 4 Sb 2.66, 4 Ni 2.70
Sb (0.0000, 0.0000, 0.5000) (multiplicity 1)  8 Ni 2.66, 4 Ir 2.70
Ir (0.5000, 0.5000, 0.5000) (multiplicity 1)  8 Ni 2.66, 4 Sb 2.70


## NiSbIr2 (SCAN)

Data for a crystal of NiSbIr2 relaxed with PBEsol.

a = 5.3977 Å, b = 9.1949 Å, c = 2.8380 Å
α = 90.00°, β = 121.44°, γ = 90.00°
Last column: nearest neighbours and their distance in Å.
Space group C2/m (No. 12)
Unique sites:
Ni (0.0000, 0.0000, 0.0000) (multiplicity 2)  4 Ir 2.67, 4 Sb 2.70-2.71, 2 Ni 2.84
Sb (0.0000, 0.5000, 0.0000) (multiplicity 2)  4 Ir 2.67, 4 Ni 2.70-2.71, 2 Sb 2.84
Ir (0.2500, 0.2500, 0.0000) (multiplicity 4)  2 Sb 2.67, 2 Ni 2.67, 6 Ir 2.70-2.84


## Ni6SbIr (SCAN)

Data for a crystal of Ni6SbIr relaxed with PBEsol.

a = 7.2319 Å, b = 10.2398 Å, c = 10.2479 Å
α = 90.00°, β = 90.00°, γ = 90.00°
Last column: nearest neighbours and their distance in Å.
Space group Cmmm (No. 65)
Unique sites:
Ni (0.0000, 0.0000, 0.0000) (multiplicity 2)  4 Ir 2.51-2.59, 8 Ni 2.54
Ni (0.0000, 0.0000, 0.5000) (multiplicity 2)  8 Ni 2.54, 2 Sb 2.58, 2 Ir 2.62
Ni (0.0000, 0.2472, 0.2457) (multiplicity 8)  8 Ni 2.51-2.61, 2 Ir 2.52-2.53, 2 Sb 2.59-2.61
Ni (0.0000, 0.5000, 0.0000) (multiplicity 2)  2 Ir 2.53, 2 Sb 2.53, 8 Ni 2.57
Ni (0.0000, 0.5000, 0.5000) (multiplicity 2)  4 Sb 2.54-2.60, 8 Ni 2.60
Ni (0.2447, 0.1237, 0.3719) (multiplicity 16)  8 Ni 2.53-2.63, 1 Ir 2.54, 3 Sb 2.56-2.60
Ni (0.2464, 0.1264, 0.1225) (multiplicity 16)  8 Ni 2.51-2.59, 3 Ir 2.53-2.54, 1 Sb 2.58
Sb (0.0000, 0.2518, 0.5000) (multiplicity 4)  12 Ni 2.54-2.61
Sb (0.0000, 0.5000, 0.2467) (multiplicity 4)  12 Ni 2.53-2.60
Ir (0.0000, 0.0000, 0.2446) (multiplicity 4)  12 Ni 2.51-2.62
Ir (0.0000, 0.2533, 0.0000) (multiplicity 4)  12 Ni 2.52-2.59


## Si2NiSbIr (SCAN)

Data for a crystal of Si2NiSbIr relaxed with PBEsol.

a = 4.1608 Å, b = 4.1608 Å, c = 5.0182 Å
α = 90.00°, β = 90.00°, γ = 90.00°
Last column: nearest neighbours and their distance in Å.
Space group P4/mmm (No. 123)
Unique sites:
Si (0.0000, 0.5000, 0.0000) (multiplicity 2)  2 Ni 2.08
Ni (0.0000, 0.0000, 0.0000) (multiplicity 1)  4 Si 2.08
Sb (0.0000, 0.0000, 0.5000) (multiplicity 1)  2 Ni 2.51
Ir (0.5000, 0.5000, 0.5000) (multiplicity 1)  4 Sb 2.94, 8 Si 3.26


## Ni2SbTeIr (SCAN)

Data for a crystal of Ni2SbTeIr relaxed with PBEsol.

a = 4.6617 Å, b = 4.6617 Å, c = 4.8969 Å
α = 90.00°, β = 90.00°, γ = 90.00°
Last column: nearest neighbours and their distance in Å.
Space group P4/mmm (No. 123)
Unique sites:
Ni (0.0000, 0.5000, 0.0000) (multiplicity 2)  2 Ir 2.33
Sb (0.0000, 0.0000, 0.5000) (multiplicity 1)  2 Ir 2.45
Te (0.5000, 0.5000, 0.5000) (multiplicity 1)  4 Sb 3.30, 8 Ni 3.38
Ir (0.0000, 0.0000, 0.0000) (multiplicity 1)  4 Ni 2.33, 2 Sb 2.45


Across the entries above, final energy takes the values -635.87 -140.97 -389.14 -1642.81 -141.18 -173.96 eV/cell, respectively.
Across the entries above, V takes the values 17.7 13.5 15.0 11.9 17.4 21.3 A^3/atom, respectively.